[1]
Density functional theory data (PBE-GGA) for crystalline NaSn2 at its relaxed geometry.

Lattice parameters (Å, degrees): 6.339 6.339 6.339 60.00 60.00 60.00
Positions (direct):
Na 0.000 0.000 0.000
Na 0.250 0.250 0.250
Sn 0.125 0.625 0.625
Sn 0.625 0.125 0.625
Sn 0.625 0.625 0.625
Sn 0.625 0.625 0.125

- E (eV per atom) = -3.1731
- magnetic moment (μB/atom) = 0.0000
- energy above the most stable polymorph in this dataset (eV/atom) = 0.0895
- N(E_F) (states/eV/cell) = 7.44
- ΔH_f (0 K) (kcal/mol of atoms) = -1.50

[2]
Density functional theory data (PBE-GGA) for crystalline Na3Sn13 at its relaxed geometry.

Lattice parameters (Å, degrees): 6.773 6.773 9.474 90.00 90.00 88.70
Positions (direct):
Na 0.000 0.000 0.260
Na 0.754 0.246 0.000
Na 0.000 0.000 0.740
Sn 0.500 0.997 0.248
Sn 0.495 0.505 0.235
Sn 0.003 0.500 0.248
Sn 0.754 0.750 0.000
Sn 0.250 0.246 0.000
Sn 0.238 0.762 0.000
Sn 0.500 0.997 0.752
Sn 0.495 0.505 0.765
Sn 0.003 0.500 0.752
Sn 0.742 0.258 0.500
Sn 0.747 0.738 0.500
Sn 0.262 0.253 0.500
Sn 0.259 0.741 0.500

- E (eV per atom) = -3.5469
- magnetic moment (μB/atom) = 0.0000
- N(E_F) (states/eV/cell) = 7.92
- ΔH_f (0 K) (kcal/mol of atoms) = -1.09

[3]
Density functional theory data (PBE-GGA) for crystalline NaSn12 at its relaxed geometry.

Lattice parameters (Å, degrees): 8.174 8.174 8.174 90.00 90.00 90.00
Positions (direct):
Na 0.500 0.500 0.500
Sn 0.251 0.000 0.500
Sn 0.749 0.000 0.500
Sn 0.000 0.500 0.251
Sn 0.000 0.500 0.749
Sn 0.500 0.251 0.000
Sn 0.500 0.749 0.000
Sn 0.000 0.749 0.500
Sn 0.000 0.251 0.500
Sn 0.749 0.500 0.000
Sn 0.251 0.500 0.000
Sn 0.500 0.000 0.749
Sn 0.500 0.000 0.251

- E (eV per atom) = -3.6834
- magnetic moment (μB/atom) = 0.0000
- energy above the most stable polymorph in this dataset (eV/atom) = 0.0000
- N(E_F) (states/eV/cell) = 2.88
- ΔH_f (0 K) (kcal/mol of atoms) = 2.61

[4]
Density functional theory data (PBE-GGA) for crystalline Na3Sn5 at its relaxed geometry.

Lattice parameters (Å, degrees): 4.839 4.839 9.755 104.36 104.36 90.00
Positions (direct):
Na 0.124 0.124 0.248
Na 0.876 0.876 0.752
Na 0.250 0.750 0.500
Sn 0.629 0.629 0.258
Sn 0.006 0.506 0.013
Sn 0.371 0.371 0.742
Sn 0.750 0.250 0.500
Sn 0.494 0.994 0.987

- E (eV per atom) = -3.1234
- magnetic moment (μB/atom) = 0.0000
- energy above the most stable polymorph in this dataset (eV/atom) = 0.0000
- N(E_F) (states/eV/cell) = 3.09
- ΔH_f (0 K) (kcal/mol of atoms) = -2.93

[5]
Density functional theory data (PBE-GGA) for crystalline NaSn2 at its relaxed geometry.

Lattice parameters (Å, degrees): 4.733 7.197 5.229 90.03 90.00 109.19
Positions (direct):
Na 0.421 0.842 0.750
Na 0.579 0.158 0.250
Sn 0.248 0.496 0.250
Sn 0.752 0.504 0.750
Sn 0.104 0.207 0.749
Sn 0.896 0.793 0.251

- E (eV per atom) = -3.2161
- magnetic moment (μB/atom) = 0.0000
- energy above the most stable polymorph in this dataset (eV/atom) = 0.0464
- N(E_F) (states/eV/cell) = 2.16
- ΔH_f (0 K) (kcal/mol of atoms) = -2.49

[6]
Density functional theory data (PBE-GGA) for crystalline Na5Sn2 at its relaxed geometry.

Lattice parameters (Å, degrees): 5.449 5.449 8.163 70.50 70.50 60.00
Positions (direct):
Na 0.500 0.500 0.500
Na 0.356 0.356 0.932
Na 0.644 0.644 0.068
Na 0.213 0.213 0.360
Na 0.787 0.787 0.640
Sn 0.067 0.067 0.799
Sn 0.933 0.933 0.201

- E (eV per atom) = -2.2654
- magnetic moment (μB/atom) = 0.0000
- N(E_F) (states/eV/cell) = 2.06
- ΔH_f (0 K) (kcal/mol of atoms) = -4.14

[7]
Density functional theory data (PBE-GGA) for crystalline Na6Sn at its relaxed geometry.

Lattice parameters (Å, degrees): 7.117 7.117 7.117 109.47 109.47 109.47
Positions (direct):
Na 0.250 0.750 0.500
Na 0.500 0.750 0.250
Na 0.250 0.500 0.750
Na 0.750 0.250 0.500
Na 0.500 0.250 0.750
Na 0.750 0.500 0.250
Sn 0.000 0.000 0.000

- E (eV per atom) = -1.2245
- magnetic moment (μB/atom) = 0.0000
- N(E_F) (states/eV/cell) = 5.45
- ΔH_f (0 K) (kcal/mol of atoms) = 11.02

[8]
Density functional theory data (PBE-GGA) for crystalline NaSr2Sn2 at its relaxed geometry.

Lattice parameters (Å, degrees): 6.387 6.921 9.244 103.12 90.00 117.48
Positions (direct):
Na 0.853 0.000 0.250
Na 0.147 0.000 0.750
Sr 0.487 0.293 0.145
Sr 0.194 0.707 0.355
Sr 0.513 0.707 0.855
Sr 0.806 0.293 0.645
Sn 0.699 0.722 0.504
Sn 0.977 0.278 0.996
Sn 0.301 0.278 0.496
Sn 0.023 0.722 0.004

- E (eV per atom) = -2.9981
- magnetic moment (μB/atom) = 0.0001
- energy above the most stable polymorph in this dataset (eV/atom) = 0.0478
- N(E_F) (states/eV/cell) = 10.66
- ΔH_f (0 K) (kcal/mol of atoms) = -10.62

[9]
Density functional theory data (PBE-GGA) for crystalline Na3SrSn8 at its relaxed geometry.

Lattice parameters (Å, degrees): 6.432 6.432 10.010 90.00 90.00 120.00
Positions (direct):
Na 0.667 0.333 0.419
Na 0.667 0.333 0.069
Na 0.000 0.000 0.943
Sr 0.000 0.000 0.571
Sn 0.333 0.667 0.499
Sn 0.333 0.667 0.000
Sn 0.506 0.012 0.750
Sn 0.506 0.494 0.750
Sn 0.988 0.494 0.750
Sn 0.161 0.322 0.249
Sn 0.161 0.839 0.249
Sn 0.678 0.839 0.249

- E (eV per atom) = -3.3590
- magnetic moment (μB/atom) = 0.0000
- N(E_F) (states/eV/cell) = 7.65
- ΔH_f (0 K) (kcal/mol of atoms) = -5.09

[10]
Density functional theory data (PBE-GGA) for crystalline Na2SrSn at its relaxed geometry.

Lattice parameters (Å, degrees): 8.052 10.908 8.463 132.17 90.00 90.00
Positions (direct):
Na 0.746 0.000 0.001
Na 0.246 0.500 0.999
Na 0.254 0.000 0.999
Na 0.754 0.500 0.001
Na 0.501 0.732 0.972
Na 0.001 0.768 0.028
Na 0.499 0.268 0.028
Na 0.999 0.232 0.972
Sr 0.500 0.218 0.503
Sr 0.000 0.282 0.497
Sr 0.500 0.782 0.497
Sr 0.000 0.718 0.503
Sn 0.691 0.499 0.498
Sn 0.191 0.001 0.502
Sn 0.309 0.501 0.502
Sn 0.809 0.999 0.498

- E (eV per atom) = -2.3058
- magnetic moment (μB/atom) = 0.0000
- N(E_F) (states/eV/cell) = 7.03
- ΔH_f (0 K) (kcal/mol of atoms) = -5.19

[11]
Density functional theory data (PBE-GGA) for crystalline NaSr3Sn at its relaxed geometry.

Lattice parameters (Å, degrees): 6.125 6.125 6.125 90.00 90.00 90.00
Positions (direct):
Sr 0.000 0.500 0.000
Sr 0.000 0.000 0.500
Sr 0.500 0.000 0.000
Sn 0.500 0.500 0.500
Na 0.000 0.000 0.000

- E (eV per atom) = -1.7499
- magnetic moment (μB/atom) = 0.0000
- energy above the most stable polymorph in this dataset (eV/atom) = 0.6345
- N(E_F) (states/eV/cell) = 4.18
- ΔH_f (0 K) (kcal/mol of atoms) = 7.46

[12]
Density functional theory data (PBE-GGA) for crystalline NaSrSn6 at its relaxed geometry.

Lattice parameters (Å, degrees): 5.238 7.128 7.128 120.01 90.00 90.00
Positions (direct):
Na 0.000 0.083 0.917
Sr 0.500 0.417 0.583
Sn 0.000 0.037 0.394
Sn 0.000 0.606 0.963
Sn 0.000 0.606 0.394
Sn 0.500 0.391 0.070
Sn 0.500 0.930 0.609
Sn 0.500 0.929 0.071

- E (eV per atom) = -3.6182
- magnetic moment (μB/atom) = 0.0000
- energy above the most stable polymorph in this dataset (eV/atom) = 0.0000
- N(E_F) (states/eV/cell) = 3.53
- ΔH_f (0 K) (kcal/mol of atoms) = -5.56

Number 6 is which compound?
Na5Sn2